1.
Computed, not measured: crystalline CsPrCuSe3 at its relaxed geometry at the PBE-GGA level of DFT.

Output
- space group = P2_1/m
- N(E_F) (states/eV per cell) = 8.73
- formation energy from raw total energies (eV/atom) = -1.170

Unit cell a=4.271 b=9.866 c=10.172 alpha=109.45 beta=90.00 gamma=90.00
Positions (direct):
Cs (0.250, 0.206, 0.246)
Cs (0.750, 0.794, 0.754)
Pr (0.250, 0.672, 0.143)
Pr (0.750, 0.328, 0.857)
Cu (0.250, 0.085, 0.614)
Cu (0.750, 0.915, 0.386)
Se (0.750, 0.882, 0.139)
Se (0.250, 0.118, 0.861)
Se (0.250, 0.834, 0.458)
Se (0.750, 0.166, 0.542)
Se (0.750, 0.469, 0.164)
Se (0.250, 0.531, 0.836)

---

2.
Computed, not measured: crystalline CsPr2CuSe4 at its relaxed geometry at the PBE-GGA level of DFT.

Output
- space group = Cmcm
- formation energy from raw total energies (eV/atom) = -1.505

Unit cell a=4.300 b=7.844 c=14.846 alpha=90.00 beta=90.00 gamma=105.91
Positions (direct):
Cs (0.106, 0.211, 0.750)
Cs (0.894, 0.789, 0.250)
Pr (0.366, 0.731, 0.561)
Pr (0.634, 0.269, 0.061)
Pr (0.634, 0.269, 0.439)
Pr (0.366, 0.731, 0.939)
Cu (0.836, 0.671, 0.750)
Cu (0.164, 0.329, 0.250)
Se (0.259, 0.518, 0.112)
Se (0.741, 0.482, 0.612)
Se (0.741, 0.482, 0.888)
Se (0.259, 0.518, 0.388)
Se (0.000, 0.000, 0.500)
Se (0.000, 0.000, 0.000)
Se (0.422, 0.844, 0.750)
Se (0.578, 0.156, 0.250)

---

3.
Computed, not measured: crystalline Cs2PrCu2Se4 at its relaxed geometry at the PBE-GGA level of DFT.

Output
- space group = C2/m
- N(E_F) (states/eV per cell) = 6.72
- formation energy from raw total energies (eV/atom) = -1.046

Unit cell a=4.227 b=8.512 c=8.164 alpha=107.81 beta=105.00 gamma=90.00
Positions (direct):
Cs (0.136, 0.560, 0.272)
Cs (0.864, 0.440, 0.728)
Pr (0.000, 0.000, 0.000)
Cu (0.675, 0.981, 0.350)
Cu (0.325, 0.019, 0.650)
Se (0.202, 0.147, 0.404)
Se (0.798, 0.853, 0.596)
Se (0.523, 0.771, 0.047)
Se (0.477, 0.229, 0.953)

---

4.
Computed, not measured: crystalline CsPrCuTe3 at its relaxed geometry at the PBE-GGA level of DFT.

Output
- space group = P-1
- N(E_F) (states/eV per cell) = 2.25
- formation energy from raw total energies (eV/atom) = -0.869

Unit cell a=5.335 b=8.990 c=9.973 alpha=100.78 beta=90.01 gamma=107.21
Positions (direct):
Cs (0.352, 0.706, 0.951)
Cs (0.648, 0.294, 0.049)
Pr (0.643, 0.287, 0.545)
Pr (0.357, 0.713, 0.455)
Cu (0.015, 0.029, 0.309)
Cu (0.985, 0.971, 0.691)
Te (0.861, 0.722, 0.260)
Te (0.831, 0.663, 0.658)
Te (0.500, 0.000, 0.291)
Te (0.169, 0.337, 0.342)
Te (0.500, 0.000, 0.709)
Te (0.139, 0.278, 0.740)

---

5.
Computed, not measured: crystalline CsCu2Pt2 at its relaxed geometry at the PBE-GGA level of DFT.

Output
- space group = I4/mmm
- N(E_F) (states/eV per cell) = 2.77
- excess energy over the best structure of this formula in the dataset (meV/atom) = 0
- ΔH_f (0 K) (eV per atom) = 0.244

Unit cell a=4.743 b=4.743 c=6.883 alpha=69.85 beta=69.85 gamma=90.00
Positions (direct):
Cs (0.000, 0.000, 0.000)
Cu (0.301, 0.301, 0.399)
Cu (0.699, 0.699, 0.601)
Pt (0.750, 0.250, 0.500)
Pt (0.250, 0.750, 0.500)

---

6.
Computed, not measured: crystalline CsCuPt2 at its relaxed geometry at the PBE-GGA level of DFT.

Output
- space group = I4_1/amd
- N(E_F) (states/eV per cell) = 6.35
- excess energy over the best structure of this formula in the dataset (meV/atom) = 0
- ΔH_f (0 K) (eV per atom) = 0.255

Unit cell a=5.150 b=5.150 c=9.351 alpha=74.02 beta=74.02 gamma=90.00
Positions (direct):
Cs (0.000, 0.000, 0.000)
Cs (0.750, 0.250, 0.500)
Cu (0.500, 0.500, 0.000)
Cu (0.250, 0.750, 0.500)
Pt (0.375, 0.125, 0.250)
Pt (0.375, 0.625, 0.250)
Pt (0.375, 0.625, 0.750)
Pt (0.875, 0.625, 0.750)

---

7.
Computed, not measured: crystalline CsCu2Pt at its relaxed geometry at the PBE-GGA level of DFT.

Output
- space group = R-3m
- N(E_F) (states/eV per cell) = 1.57
- excess energy over the best structure of this formula in the dataset (meV/atom) = 0
- ΔH_f (0 K) (eV per atom) = -0.039

Unit cell a=4.375 b=4.375 c=6.735 alpha=71.05 beta=71.05 gamma=60.00
Positions (direct):
Cs (0.000, 0.000, 0.000)
Cu (0.175, 0.175, 0.476)
Cu (0.825, 0.825, 0.524)
Pt (0.500, 0.500, 0.500)

---

8.
Computed, not measured: crystalline CsCu2Pt at its relaxed geometry at the PBE-GGA level of DFT.

Output
- space group = Fm-3m
- N(E_F) (states/eV per cell) = 1.51
- excess energy over the best structure of this formula in the dataset (meV/atom) = 861
- ΔH_f (0 K) (eV per atom) = 0.822

Unit cell a=4.866 b=4.866 c=4.866 alpha=60.00 beta=60.00 gamma=60.00
Positions (direct):
Cs (0.000, 0.000, 0.000)
Cu (0.250, 0.250, 0.250)
Cu (0.750, 0.750, 0.750)
Pt (0.500, 0.500, 0.500)

---

9.
Computed, not measured: crystalline CsCu2Pt2 at its relaxed geometry at the PBE-GGA level of DFT.

Output
- space group = I4/mmm
- N(E_F) (states/eV per cell) = 3.30
- excess energy over the best structure of this formula in the dataset (meV/atom) = 19
- ΔH_f (0 K) (eV per atom) = 0.263

Unit cell a=4.470 b=4.470 c=6.139 alpha=68.65 beta=68.65 gamma=90.00
Positions (direct):
Cs (0.000, 0.000, 0.000)
Cu (0.750, 0.250, 0.500)
Cu (0.250, 0.750, 0.500)
Pt (0.373, 0.373, 0.253)
Pt (0.627, 0.627, 0.747)

---

10.
Computed, not measured: crystalline CsCuPt2 at its relaxed geometry at the PBE-GGA level of DFT.

Output
- space group = Fm-3m
- N(E_F) (states/eV per cell) = 0.76
- excess energy over the best structure of this formula in the dataset (meV/atom) = 658
- ΔH_f (0 K) (eV per atom) = 0.913

Unit cell a=4.862 b=4.862 c=4.862 alpha=60.00 beta=60.00 gamma=60.00
Positions (direct):
Cs (0.500, 0.500, 0.500)
Cu (0.000, 0.000, 0.000)
Pt (0.250, 0.250, 0.250)
Pt (0.750, 0.750, 0.750)

---

11.
Computed, not measured: crystalline CsCuPt at its relaxed geometry at the PBE-GGA level of DFT.

Output
- space group = Cc
- N(E_F) (states/eV per cell) = 4.18
- ΔH_f (0 K) (eV per atom) = 0.305

Unit cell a=6.699 b=8.030 c=4.739 alpha=107.13 beta=134.97 gamma=65.37
Positions (direct):
Cs (0.124, 0.378, 0.250)
Cs (0.874, 0.878, 0.750)
Cu (0.710, 0.203, 0.249)
Cu (0.461, 0.703, 0.751)
Pt (0.541, 0.545, 0.251)
Pt (0.290, 0.045, 0.749)

---

12.
Computed, not measured: crystalline CsCuPtSe2 at its relaxed geometry at the PBE-GGA level of DFT.

Output
- space group = Pmmm
- N(E_F) (states/eV per cell) = 1.51
- excess energy over the best structure of this formula in the dataset (meV/atom) = 0
- formation energy from raw total energies (eV/atom) = -0.518

Unit cell a=4.210 b=7.636 c=7.800 alpha=89.99 beta=90.00 gamma=90.00
Positions (direct):
Cs (0.000, 0.500, 0.750)
Cs (0.000, 0.500, 0.250)
Cu (0.000, 0.000, 0.000)
Cu (0.000, 0.000, 0.500)
Pt (0.500, 0.000, 0.250)
Pt (0.500, 0.000, 0.750)
Se (0.501, 0.791, 0.000)
Se (0.501, 0.209, 0.500)
Se (0.499, 0.791, 0.500)
Se (0.499, 0.209, 0.000)

---

13.
Computed, not measured: crystalline CsCuPtSe2 at its relaxed geometry at the PBE-GGA level of DFT.

Output
- space group = P4/mmm
- N(E_F) (states/eV per cell) = 6.36
- excess energy over the best structure of this formula in the dataset (meV/atom) = 1114
- formation energy from raw total energies (eV/atom) = 0.596

Unit cell a=4.795 b=5.839 c=4.795 alpha=90.00 beta=90.00 gamma=90.00
Positions (direct):
Cs (0.000, 0.500, 0.000)
Cu (0.000, 0.000, 0.000)
Se (0.000, 0.000, 0.500)
Se (0.500, 0.000, 0.000)
Pt (0.500, 0.500, 0.500)

---

14.
Computed, not measured: crystalline CsCuSnPt2 at its relaxed geometry at the PBE-GGA level of DFT.

Output
- space group = P4/mmm
- N(E_F) (states/eV per cell) = 2.30
- ΔH_f (0 K) (eV per atom) = 0.460

Unit cell a=5.051 b=4.871 c=5.051 alpha=90.00 beta=90.00 gamma=90.00
Positions (direct):
Cs (0.500, 0.500, 0.500)
Cu (0.000, 0.000, 0.000)
Sn (0.000, 0.500, 0.000)
Pt (0.000, 0.000, 0.500)
Pt (0.500, 0.000, 0.000)

---

15.
Computed, not measured: crystalline Cs2Pu2CuS6 at its relaxed geometry at the PBE-GGA level of DFT.

Output
- space group = C2/m
- N(E_F) (states/eV per cell) = 13.76
- formation energy from raw total energies (eV/atom) = -1.131

Unit cell a=7.082 b=7.082 c=8.483 alpha=96.66 beta=96.66 gamma=125.17
Positions (direct):
Cs (0.849, 0.151, 0.000)
Cs (0.151, 0.849, 0.000)
Pu (0.337, 0.663, 0.500)
Pu (0.663, 0.337, 0.500)
Cu (0.000, 0.000, 0.500)
S (0.751, 0.751, 0.648)
S (0.049, 0.422, 0.682)
S (0.249, 0.249, 0.352)
S (0.422, 0.049, 0.682)
S (0.951, 0.578, 0.318)
S (0.578, 0.951, 0.318)

---

16.
Computed, not measured: crystalline Cs2PuCu2S6 at its relaxed geometry at the PBE-GGA level of DFT.

Output
- space group = C2/m
- N(E_F) (states/eV per cell) = 8.84
- formation energy from raw total energies (eV/atom) = -0.709

Unit cell a=7.291 b=7.290 c=8.113 alpha=116.55 beta=90.00 gamma=120.00
Positions (direct):
Cs (0.726, 0.452, 0.179)
Cs (0.274, 0.548, 0.821)
Pu (0.500, 0.000, 0.500)
Cu (0.907, 0.814, 0.719)
Cu (0.093, 0.186, 0.281)
S (0.735, 0.470, 0.720)
S (0.264, 0.011, 0.277)
S (0.253, 0.989, 0.723)
S (0.736, 0.989, 0.723)
S (0.747, 0.011, 0.277)
S (0.265, 0.530, 0.280)

---

17.
Computed, not measured: crystalline CsPu2Cu2S6 at its relaxed geometry at the PBE-GGA level of DFT.

Output
- space group = P-1
- N(E_F) (states/eV per cell) = 13.59
- formation energy from raw total energies (eV/atom) = -0.967

Unit cell a=7.193 b=7.722 c=7.659 alpha=122.24 beta=90.60 gamma=61.54
Positions (direct):
Cs (0.500, 0.000, 0.500)
Pu (0.831, 0.340, 0.831)
Pu (0.169, 0.660, 0.169)
Cu (0.182, 0.735, 0.801)
Cu (0.818, 0.265, 0.199)
S (0.412, 0.742, 0.997)
S (0.001, 0.411, 0.155)
S (0.150, 0.847, 0.587)
S (0.999, 0.589, 0.845)
S (0.850, 0.153, 0.413)
S (0.588, 0.258, 0.003)

---

18.
Computed, not measured: crystalline CsPuCuS2 at its relaxed geometry at the PBE-GGA level of DFT.

Output
- space group = P2/c
- N(E_F) (states/eV per cell) = 24.59
- formation energy from raw total energies (eV/atom) = -0.965

Unit cell a=5.151 b=8.052 c=7.784 alpha=103.38 beta=90.00 gamma=90.00
Positions (direct):
Cs (0.207, 0.500, 0.750)
Cs (0.793, 0.500, 0.250)
Pu (0.489, 0.000, 0.250)
Pu (0.511, 0.000, 0.750)
Cu (0.000, 0.000, 0.000)
Cu (0.000, 0.000, 0.500)
S (0.719, 0.792, 0.955)
S (0.719, 0.208, 0.545)
S (0.281, 0.792, 0.455)
S (0.281, 0.208, 0.045)

---

19.
Computed, not measured: crystalline CsPuCu2S4 at its relaxed geometry at the PBE-GGA level of DFT.

Output
- space group = I222
- N(E_F) (states/eV per cell) = 10.28
- formation energy from raw total energies (eV/atom) = -0.634

Unit cell a=6.562 b=7.015 c=7.015 alpha=72.52 beta=62.11 gamma=62.11
Positions (direct):
Cs (0.000, 0.000, 0.000)
Pu (0.500, 0.500, 0.500)
Cu (0.136, 0.364, 0.364)
Cu (0.864, 0.636, 0.636)
S (0.422, 0.178, 0.490)
S (0.090, 0.822, 0.510)
S (0.910, 0.490, 0.178)
S (0.578, 0.510, 0.822)

---

20.
Computed, not measured: crystalline CsPu4Cu3S12 at its relaxed geometry at the PBE-GGA level of DFT.

Output
- space group = Im-3
- N(E_F) (states/eV per cell) = 35.69
- formation energy from raw total energies (eV/atom) = -0.835

Unit cell a=8.450 b=8.450 c=8.450 alpha=109.47 beta=109.47 gamma=109.47
Positions (direct):
Cs (0.000, 0.000, 0.000)
Pu (0.500, 0.000, 0.000)
Pu (0.500, 0.500, 0.500)
Pu (0.000, 0.500, 0.000)
Pu (0.000, 0.000, 0.500)
Cu (0.000, 0.500, 0.500)
Cu (0.500, 0.500, 0.000)
Cu (0.500, 0.000, 0.500)
S (0.329, 0.835, 0.165)
S (0.671, 0.165, 0.835)
S (0.671, 0.835, 0.506)
S (0.835, 0.671, 0.165)
S (0.835, 0.165, 0.329)
S (0.165, 0.494, 0.329)
S (0.494, 0.329, 0.165)
S (0.165, 0.835, 0.671)
S (0.329, 0.165, 0.494)
S (0.165, 0.329, 0.835)
S (0.835, 0.506, 0.671)
S (0.506, 0.671, 0.835)

---

21.
Computed, not measured: crystalline CsPuCuS3 at its relaxed geometry at the PBE-GGA level of DFT.

Output
- space group = P2_1/m
- N(E_F) (states/eV per cell) = 17.35
- formation energy from raw total energies (eV/atom) = -1.208

Unit cell a=4.022 b=9.310 c=9.632 alpha=112.22 beta=90.00 gamma=90.00
Positions (direct):
Cs (0.250, 0.213, 0.252)
Cs (0.750, 0.787, 0.748)
Pu (0.250, 0.678, 0.155)
Pu (0.750, 0.322, 0.845)
Cu (0.250, 0.080, 0.599)
Cu (0.750, 0.920, 0.401)
S (0.750, 0.867, 0.145)
S (0.250, 0.133, 0.855)
S (0.250, 0.812, 0.453)
S (0.750, 0.188, 0.547)
S (0.750, 0.477, 0.147)
S (0.250, 0.523, 0.853)

---

22.
Computed, not measured: crystalline Cs3Pu2CuTe6 at its relaxed geometry at the PBE-GGA level of DFT.

Output
- space group = C2/m
- N(E_F) (states/eV per cell) = 23.44
- formation energy from raw total energies (eV/atom) = -0.787

Unit cell a=7.784 b=7.784 c=9.185 alpha=98.68 beta=98.68 gamma=118.21
Positions (direct):
Cs (0.171, 0.829, 0.500)
Cs (0.829, 0.171, 0.500)
Cs (0.500, 0.500, 0.500)
Pu (0.333, 0.667, 0.000)
Pu (0.667, 0.333, 0.000)
Cu (0.000, 0.000, 0.000)
Te (0.938, 0.628, 0.827)
Te (0.723, 0.723, 0.191)
Te (0.062, 0.372, 0.173)
Te (0.628, 0.938, 0.827)
Te (0.277, 0.277, 0.809)
Te (0.372, 0.062, 0.173)

---

23.
Computed, not measured: crystalline Cs3RbCu at its relaxed geometry at the PBE-GGA level of DFT.

Output
- space group = Pm-3m
- N(E_F) (states/eV per cell) = 5.93
- excess energy over the best structure of this formula in the dataset (meV/atom) = 0
- ΔH_f (0 K) (eV per atom) = 0.190

Unit cell a=7.408 b=7.408 c=7.408 alpha=90.00 beta=90.00 gamma=90.00
Positions (direct):
Cs (0.000, 0.500, 0.000)
Cs (0.000, 0.000, 0.500)
Cs (0.500, 0.000, 0.000)
Rb (0.500, 0.500, 0.500)
Cu (0.000, 0.000, 0.000)

---

Here are the calculated total magnetic moment numbers, same order: 0.0; 0.0; 0.0; 0.0; 0.0; 0.0; 0.0; 0.0; 0.0; 0.0; 0.0; 0.0; 0.0; 0.0; 7.0; 0.6; 7.0; 12.0; 3.0; 17.1; 8.0; 8.0; 0.0 (μB/cell).
Here are the calculated VASP energy numbers, same order: -4.53; -5.06; -4.23; -4.06; -3.98; -4.00; -3.81; -2.95; -3.96; -3.35; -3.36; -4.11; -3.00; -3.75; -6.52; -5.16; -6.65; -6.47; -5.62; -6.83; -6.48; -5.30; -1.33 (eV/atom).